DFT (GGA-PBE) results for a geometry-optimized CsWAu3Se4 structure. Values from VASP.

```
&SYSTEM
  ibrav = 0, nat = 9, ntyp = 4
/
ATOMIC_SPECIES
Cs 132.91 Cs.upf
W 183.84 W.upf
Au 196.97 Au.upf
Se 78.96 Se.upf
CELL_PARAMETERS angstrom
6.552 0.000 0.000
0.000 6.552 0.000
0.000 0.000 6.552
ATOMIC_POSITIONS crystal
Cs 0.000 0.000 0.000
W 0.500 0.500 0.500
Au 0.000 0.500 0.500
Au 0.500 0.000 0.500
Au 0.500 0.500 0.000
Se 0.288 0.288 0.288
Se 0.288 0.712 0.712
Se 0.712 0.288 0.712
Se 0.712 0.712 0.288
```

Space-group type: P-43m (215)

DFT (GGA-PBE) results for a geometry-optimized CsYAuSe3 structure. Values from VASP.

```
&SYSTEM
  ibrav = 0, nat = 12, ntyp = 4
/
ATOMIC_SPECIES
Cs 132.91 Cs.upf
Y 88.91 Y.upf
Au 196.97 Au.upf
Se 78.96 Se.upf
CELL_PARAMETERS angstrom
2.050 -8.153 0.000
2.050 8.153 0.000
0.000 0.000 10.744
ATOMIC_POSITIONS crystal
Cs 0.250 0.750 0.750
Cs 0.750 0.250 0.250
Y 0.000 0.000 0.000
Y 0.000 0.000 0.500
Au 0.464 0.536 0.250
Au 0.536 0.464 0.750
Se 0.067 0.933 0.250
Se 0.379 0.621 0.047
Se 0.379 0.621 0.453
Se 0.621 0.379 0.547
Se 0.621 0.379 0.953
Se 0.933 0.067 0.750
```

Space-group type: Cmcm (63)

The following energy values (in eV per cell) correspond, in order, to the records above: -38.6; -55.6.